Record 1
{
  "formula": "PmTiGa",
  "functional": "PBE-GGA",
  "state": "optimized geometry",
  "cell": [[3.2292, 0.0000, 0.0000], [-1.6146, 2.7966, 0.0000], [0.0000, 0.0000, 14.7661]],
  "species": ["Pm", "Pm", "Ti", "Ti", "Ga", "Ga"],
  "fractional_positions": [[0.0000, 0.0000, 0.1817], [0.0000, 0.0000, 0.8183], [0.3333, 0.6667, 0.3579], [0.3333, 0.6667, 0.6421], [0.0000, 0.0000, 0.5000], [0.3333, 0.6667, 0.0000]],
  "ef_ev_per_atom": 0.0437,
  "crystal_system": "hexagonal"
}

=====

Record 2
{
  "formula": "Pm5Tl2C2",
  "functional": "PBE-GGA",
  "state": "optimized geometry",
  "cell": [[4.9829, 0.0000, 0.0000], [0.0000, 4.9829, 0.0000], [0.0000, 0.0000, 10.0009]],
  "species": ["Pm", "Pm", "Pm", "Pm", "Pm", "Tl", "Tl", "C", "C"],
  "fractional_positions": [[0.0000, 0.0000, 0.0000], [0.0000, 0.5000, 0.2800], [0.0000, 0.5000, 0.7200], [0.5000, 0.0000, 0.2800], [0.5000, 0.0000, 0.7200], [0.5000, 0.5000, 0.0000], [0.5000, 0.5000, 0.5000], [0.0000, 0.0000, 0.2397], [0.0000, 0.0000, 0.7603]],
  "ef_ev_per_atom": -0.0602,
  "crystal_system": "tetragonal"
}

=====

Record 3
{
  "formula": "Na3Mg2Cd3",
  "functional": "PBE-GGA",
  "state": "optimized geometry",
  "cell": [[8.6814, 0.0000, 0.0000], [-4.3407, 7.5183, 0.0000], [0.0000, 0.0000, 3.0852]],
  "species": ["Na", "Na", "Na", "Mg", "Mg", "Cd", "Cd", "Cd"],
  "fractional_positions": [[0.0000, 0.7598, 0.0000], [0.2402, 0.2402, 0.0000], [0.7598, 0.0000, 0.0000], [0.3333, 0.6667, 0.0000], [0.6667, 0.3333, 0.0000], [0.0000, 0.4000, 0.5000], [0.4000, 0.0000, 0.5000], [0.6000, 0.6000, 0.5000]],
  "ef_ev_per_atom": -0.0708,
  "crystal_system": "hexagonal"
}

=====

Record 4
{
  "formula": "MgRe2Ru",
  "functional": "PBE-GGA",
  "state": "optimized geometry",
  "cell": [[1.4847, -2.2514, 0.0000], [1.4847, 2.2514, 0.0000], [0.0000, 0.0000, 9.1885]],
  "species": ["Mg", "Re", "Re", "Ru"],
  "fractional_positions": [[0.0000, 0.0000, 0.0000], [0.5000, 0.5000, 0.2596], [0.5000, 0.5000, 0.7404], [0.0000, 0.0000, 0.5000]],
  "ef_ev_per_atom": 0.3461,
  "crystal_system": "orthorhombic"
}

=====

Record 5
{
  "formula": "AsIrPt2",
  "functional": "PBE-GGA",
  "state": "optimized geometry",
  "cell": [[5.1482, -1.4566, 0.0000], [5.1482, 1.4566, 0.0000], [-1.9384, 0.0000, 4.1682]],
  "species": ["As", "Ir", "Pt", "Pt"],
  "fractional_positions": [[0.0000, 0.0000, 0.0000], [0.5000, 0.5000, 0.5000], [0.2670, 0.2670, 0.7654], [0.7330, 0.7330, 0.2346]],
  "ef_ev_per_atom": 0.1181,
  "crystal_system": "monoclinic"
}

=====

Record 6
{
  "formula": "NbFe2ReH",
  "functional": "PBE-GGA",
  "state": "optimized geometry",
  "cell": [[3.7701, 0.0000, 0.0000], [0.0000, 3.7701, 0.0000], [0.0000, 0.0000, 3.9355]],
  "species": ["Nb", "Fe", "Fe", "Re", "H"],
  "fractional_positions": [[0.0000, 0.0000, 0.0000], [0.0000, 0.5000, 0.5000], [0.5000, 0.0000, 0.5000], [0.5000, 0.5000, 0.0000], [0.0000, 0.0000, 0.5000]],
  "e_above_lowest_polymorph_ev_per_atom": 0.000,
  "crystal_system": "tetragonal"
}

=====

Record 7
{
  "formula": "ScTaIr3",
  "functional": "PBE-GGA",
  "state": "optimized geometry",
  "cell": [[4.7668, 0.0000, 0.0000], [0.0000, 4.7668, 0.0000], [0.0000, 0.0000, 4.7668]],
  "species": ["Sc", "Ta", "Ir", "Ir", "Ir"],
  "fractional_positions": [[0.0000, 0.0000, 0.0000], [0.5000, 0.5000, 0.5000], [0.0000, 0.5000, 0.5000], [0.5000, 0.0000, 0.5000], [0.5000, 0.5000, 0.0000]],
  "e_above_lowest_polymorph_ev_per_atom": 0.000,
  "ef_ev_per_atom": 0.7415,
  "crystal_system": "cubic"
}

=====

Record 8
{
  "formula": "CrSiOs",
  "functional": "PBE-GGA",
  "state": "optimized geometry",
  "cell": [[-1.4297, 1.4297, 4.5778], [1.4297, -1.4297, 4.5778], [1.4297, 1.4297, -4.5778]],
  "species": ["Cr", "Si", "Os"],
  "fractional_positions": [[0.0000, 0.0000, 0.0000], [0.6538, 0.6538, 0.0000], [0.3196, 0.3196, 0.0000]],
  "formation_energy_uncorrected_ev_per_atom": -0.2231,
  "crystal_system": "tetragonal"
}

=====

Record 9
{
  "formula": "LiMg2Hg2",
  "functional": "PBE-GGA",
  "state": "optimized geometry",
  "cell": [[8.0921, 0.0000, 0.0000], [0.0000, 8.0921, 0.0000], [0.0000, 0.0000, 3.3622]],
  "species": ["Li", "Li", "Mg", "Mg", "Mg", "Mg", "Hg", "Hg", "Hg", "Hg"],
  "fractional_positions": [[0.0000, 0.0000, 0.0000], [0.5000, 0.5000, 0.0000], [0.1349, 0.3651, 0.0000], [0.3651, 0.8651, 0.0000], [0.6349, 0.1349, 0.0000], [0.8651, 0.6349, 0.0000], [0.1660, 0.6660, 0.5000], [0.3340, 0.1660, 0.5000], [0.6660, 0.8340, 0.5000], [0.8340, 0.3340, 0.5000]],
  "e_above_lowest_polymorph_ev_per_atom": 0.024,
  "ef_ev_per_atom": -0.1911,
  "crystal_system": "tetragonal"
}

=====

Record 10
{
  "formula": "Pm2HoTe",
  "functional": "PBE-GGA",
  "state": "optimized geometry",
  "cell": [[3.9613, 0.0000, 0.0000], [0.0000, 3.9613, 0.0000], [0.0000, 0.0000, 7.8864]],
  "species": ["Pm", "Pm", "Ho", "Te"],
  "fractional_positions": [[0.0000, 0.0000, 0.2258], [0.0000, 0.0000, 0.7742], [0.5000, 0.5000, 0.5000], [0.5000, 0.5000, 0.0000]],
  "e_above_lowest_polymorph_ev_per_atom": 0.000,
  "formation_energy_uncorrected_ev_per_atom": -0.5747,
  "crystal_system": "tetragonal"
}

=====

Record 11
{
  "formula": "Cs4KH",
  "functional": "PBE-GGA",
  "state": "optimized geometry",
  "cell": [[-5.7113, 5.7113, 3.8547], [5.7113, -5.7113, 3.8547], [5.7113, 5.7113, -3.8547]],
  "species": ["Cs", "Cs", "Cs", "Cs", "K", "H"],
  "fractional_positions": [[0.0620, 0.6585, 0.7808], [0.3415, 0.1224, 0.4035], [0.7188, 0.9380, 0.5965], [0.8776, 0.2812, 0.2192], [0.5000, 0.5000, 0.0000], [0.7500, 0.2500, 0.5000]],
  "e_tot_ev_per_atom": -1.33,
  "crystal_system": "tetragonal"
}

=====

Record 12
{
  "formula": "K3Te2Au",
  "functional": "PBE-GGA",
  "state": "optimized geometry",
  "cell": [[8.3218, 0.0000, 0.0000], [0.0000, 12.0376, 0.0000], [-3.7702, 0.0000, 10.3258]],
  "species": ["K", "K", "K", "K", "K", "K", "K", "K", "K", "K", "K", "K", "Te", "Te", "Te", "Te", "Te", "Te", "Te", "Te", "Au", "Au", "Au", "Au"],
  "fractional_positions": [[0.1948, 0.0138, 0.3920], [0.1948, 0.4862, 0.8920], [0.2416, 0.0749, 0.9737], [0.2416, 0.4251, 0.4737], [0.2971, 0.7376, 0.1850], [0.2971, 0.7624, 0.6850], [0.7029, 0.2376, 0.3150], [0.7029, 0.2624, 0.8150], [0.7584, 0.5749, 0.5263], [0.7584, 0.9251, 0.0263], [0.8052, 0.5138, 0.1080], [0.8052, 0.9862, 0.6080], [0.0390, 0.6929, 0.3716], [0.0390, 0.8071, 0.8716], [0.4641, 0.0241, 0.7289], [0.4641, 0.4759, 0.2289], [0.5359, 0.5241, 0.7711], [0.5359, 0.9759, 0.2711], [0.9610, 0.1929, 0.1284], [0.9610, 0.3071, 0.6284], [0.2164, 0.1698, 0.6730], [0.2164, 0.3302, 0.1730], [0.7836, 0.6698, 0.8270], [0.7836, 0.8302, 0.3270]],
  "formation_energy_uncorrected_ev_per_atom": -0.8754,
  "crystal_system": "monoclinic"
}

=====

Record 13
{
  "formula": "SbIrW4",
  "functional": "PBE-GGA",
  "state": "optimized geometry",
  "cell": [[0.0000, 3.7459, 3.7459], [3.7459, 0.0000, 3.7459], [3.7459, 3.7459, 0.0000]],
  "species": ["Sb", "Ir", "W", "W", "W", "W"],
  "fractional_positions": [[0.0000, 0.0000, 0.0000], [0.2500, 0.2500, 0.2500], [0.1242, 0.6253, 0.6253], [0.6253, 0.1242, 0.6253], [0.6253, 0.6253, 0.1242], [0.6253, 0.6253, 0.6253]],
  "formation_energy_uncorrected_ev_per_atom": 0.7021,
  "crystal_system": "cubic"
}

=====

Record 14
{
  "formula": "LiFe2Hg",
  "functional": "PBE-GGA",
  "state": "optimized geometry",
  "cell": [[2.7202, 0.0000, 0.0000], [0.0000, 4.1459, 0.0000], [0.0000, 0.0000, 5.2273]],
  "species": ["Li", "Fe", "Fe", "Hg"],
  "fractional_positions": [[0.0000, 0.0000, 0.0000], [0.5000, 0.5000, 0.2270], [0.5000, 0.5000, 0.7730], [0.0000, 0.0000, 0.5000]],
  "ef_ev_per_atom": 0.3393,
  "crystal_system": "orthorhombic"
}

=====

Record 15
{
  "formula": "Tm2HgN",
  "functional": "PBE-GGA",
  "state": "optimized geometry",
  "cell": [[1.7328, 1.0004, 7.5909], [-1.7328, 1.0004, 7.5909], [0.0000, -2.0008, 7.5909]],
  "species": ["Tm", "Tm", "Hg", "N"],
  "fractional_positions": [[0.2250, 0.2250, 0.2250], [0.7750, 0.7750, 0.7750], [0.0000, 0.0000, 0.0000], [0.5000, 0.5000, 0.5000]],
  "formation_energy_uncorrected_ev_per_atom": -1.0548,
  "crystal_system": "trigonal"
}

=====

Record 16
{
  "formula": "RbCr2Se",
  "functional": "PBE-GGA",
  "state": "optimized geometry",
  "cell": [[-2.9101, 2.9101, 8.1707], [2.9101, -2.9101, 8.1707], [2.9101, 2.9101, -8.1707]],
  "species": ["Rb", "Rb", "Cr", "Cr", "Cr", "Cr", "Se", "Se"],
  "fractional_positions": [[0.3750, 0.6250, 0.7500], [0.6250, 0.3750, 0.2500], [0.0000, 0.0000, 0.0000], [0.0000, 0.0000, 0.5000], [0.0000, 0.5000, 0.0000], [0.5000, 0.0000, 0.5000], [0.1250, 0.8750, 0.2500], [0.8750, 0.1250, 0.7500]],
  "formation_energy_uncorrected_ev_per_atom": 0.4329,
  "crystal_system": "tetragonal"
}

=====

Record 17
{
  "formula": "CeHoTm4S8",
  "functional": "PBE-GGA",
  "state": "optimized geometry",
  "cell": [[4.0071, 2.3135, 6.5661], [-4.0071, 2.3135, 6.5661], [0.0000, -4.6270, 6.5661]],
  "species": ["Ce", "Ho", "Tm", "Tm", "Tm", "Tm", "S", "S", "S", "S", "S", "S", "S", "S"],
  "fractional_positions": [[0.0000, 0.0000, 0.0000], [0.6254, 0.6254, 0.6254], [0.1260, 0.6255, 0.6255], [0.2509, 0.2509, 0.2509], [0.6255, 0.1260, 0.6255], [0.6255, 0.6255, 0.1260], [0.3810, 0.3810, 0.8550], [0.3810, 0.8550, 0.3810], [0.3830, 0.3830, 0.3830], [0.4129, 0.8645, 0.8645], [0.8550, 0.3810, 0.3810], [0.8625, 0.8625, 0.8625], [0.8645, 0.4129, 0.8645], [0.8645, 0.8645, 0.4129]],
  "formation_energy_uncorrected_ev_per_atom": -1.9014,
  "crystal_system": "trigonal"
}

=====

Record 18
{
  "formula": "NdDySc2Bi4",
  "functional": "PBE-GGA",
  "state": "optimized geometry",
  "cell": [[7.6224, 0.0000, 0.0000], [0.0000, 4.4136, 0.0000], [-2.5548, 0.0000, 7.2018]],
  "species": ["Nd", "Dy", "Sc", "Sc", "Bi", "Bi", "Bi", "Bi"],
  "fractional_positions": [[0.0000, 0.0000, 0.0000], [0.0000, 0.5000, 0.5000], [0.5000, 0.0000, 0.5000], [0.5000, 0.5000, 0.0000], [0.2675, 0.0000, 0.7517], [0.2704, 0.5000, 0.2609], [0.7296, 0.5000, 0.7391], [0.7325, 0.0000, 0.2483]],
  "ef_ev_per_atom": -0.7712,
  "crystal_system": "monoclinic"
}

=====

Record 19
{
  "formula": "Pr3SmZn",
  "functional": "PBE-GGA",
  "state": "optimized geometry",
  "cell": [[3.7523, 0.0000, 0.0000], [-1.8757, 6.3362, 0.0000], [-0.0084, -0.9092, 13.3202]],
  "species": ["Pr", "Pr", "Pr", "Pr", "Pr", "Pr", "Sm", "Sm", "Zn", "Zn"],
  "fractional_positions": [[0.0689, 0.1384, 0.3141], [0.1340, 0.2674, 0.0389], [0.3631, 0.7248, 0.4475], [0.6369, 0.2752, 0.5525], [0.8660, 0.7326, 0.9611], [0.9311, 0.8616, 0.6859], [0.2008, 0.4027, 0.7781], [0.7992, 0.5973, 0.2219], [0.4672, 0.9338, 0.1405], [0.5328, 0.0662, 0.8595]],
  "e_above_lowest_polymorph_ev_per_atom": 0.000,
  "ef_ev_per_atom": -0.1131,
  "crystal_system": "triclinic"
}

=====

Record 20
{
  "formula": "Hf2ZrTiO",
  "functional": "PBE-GGA",
  "state": "optimized geometry",
  "cell": [[4.4154, 0.0000, 0.0000], [0.0000, 4.4154, 0.0000], [0.0000, 0.0000, 4.5438]],
  "species": ["Hf", "Hf", "Zr", "Ti", "O"],
  "fractional_positions": [[0.0000, 0.5000, 0.0000], [0.5000, 0.0000, 0.0000], [0.0000, 0.0000, 0.5000], [0.5000, 0.5000, 0.5000], [0.0000, 0.0000, 0.0000]],
  "e_above_lowest_polymorph_ev_per_atom": 0.014,
  "formation_energy_uncorrected_ev_per_atom": -1.0405,
  "crystal_system": "tetragonal"
}